(1)
## Pr3Ho2Tl3 (GGA-PBE)

Data for a relaxed structure of Pr3Ho2Tl3.

Values from the calculation:
DFT formation energy	-0.268	eV/atom

a b c (Å): 4.464 5.116 21.309
angles (deg): 90.00 90.00 90.00
Fractional coordinates of all 16 atoms:
Pr 0.000 0.000 0.000
Pr 0.000 0.500 0.121
Pr 0.000 0.500 0.879
Pr 0.500 0.000 0.379
Pr 0.500 0.000 0.621
Pr 0.500 0.500 0.500
Ho 0.000 0.000 0.237
Ho 0.000 0.000 0.763
Ho 0.500 0.500 0.263
Ho 0.500 0.500 0.737
Tl 0.000 0.000 0.500
Tl 0.000 0.500 0.368
Tl 0.000 0.500 0.632
Tl 0.500 0.000 0.132
Tl 0.500 0.000 0.868
Tl 0.500 0.500 0.000

(2)
## Pr2ZnCd2 (GGA-PBE)

Data for a relaxed structure of Pr2ZnCd2.

Values from the calculation:
DFT formation energy	-0.269	eV/atom
E above lowest polymorph	0.0	meV per atom

a b c (Å): 6.099 6.099 10.357
angles (deg): 108.07 108.07 46.95
Fractional coordinates of all 10 atoms:
Pr 0.073 0.073 0.369
Pr 0.179 0.179 0.075
Pr 0.821 0.821 0.925
Pr 0.927 0.927 0.631
Zn 0.245 0.245 0.707
Zn 0.755 0.755 0.293
Cd 0.378 0.378 0.387
Cd 0.493 0.493 0.142
Cd 0.507 0.507 0.858
Cd 0.622 0.622 0.613

(3)
## Na3PmPd2O6 (GGA-PBE)

Data for a relaxed structure of Na3PmPd2O6.

Values from the calculation:
energy relative to the elements, uncorrected	-1.392	eV/atom

a b c (Å): 7.444 7.444 6.604
angles (deg): 105.61 105.61 26.58
Fractional coordinates of all 12 atoms:
Na 0.000 0.000 0.000
Na 0.328 0.328 0.680
Na 0.672 0.672 0.320
Pm 0.000 0.000 0.500
Pd 0.333 0.333 0.168
Pd 0.667 0.667 0.832
O 0.167 0.167 0.615
O 0.183 0.183 0.047
O 0.490 0.490 0.251
O 0.510 0.510 0.749
O 0.817 0.817 0.953
O 0.833 0.833 0.385

(4)
## Y4ErS6 (GGA-PBE)

Data for a relaxed structure of Y4ErS6.

Values from the calculation:
energy relative to the elements, uncorrected	-2.032	eV/atom

a b c (Å): 6.722 6.722 19.840
angles (deg): 90.00 90.00 146.99
Fractional coordinates of all 22 atoms:
Y 0.091 0.909 0.628
Y 0.091 0.909 0.872
Y 0.361 0.639 0.540
Y 0.361 0.639 0.960
Y 0.639 0.361 0.040
Y 0.639 0.361 0.460
Y 0.909 0.091 0.128
Y 0.909 0.091 0.372
Er 0.151 0.849 0.250
Er 0.849 0.151 0.750
S 0.000 0.000 0.000
S 0.000 0.000 0.500
S 0.197 0.803 0.750
S 0.270 0.730 0.089
S 0.270 0.730 0.411
S 0.448 0.552 0.668
S 0.448 0.552 0.832
S 0.552 0.448 0.168
S 0.552 0.448 0.332
S 0.730 0.270 0.589
S 0.730 0.270 0.911
S 0.803 0.197 0.250

(5)
## Ca2TlCrSn (GGA-PBE)

Data for a relaxed structure of Ca2TlCrSn.

Values from the calculation:
DFT formation energy	0.232	eV/atom

a b c (Å): 5.654 5.654 5.082
angles (deg): 90.00 90.00 90.00
Fractional coordinates of all 5 atoms:
Ca 0.000 0.500 0.000
Ca 0.500 0.000 0.000
Tl 0.000 0.000 0.500
Cr 0.500 0.500 0.000
Sn 0.500 0.500 0.500

(6)
## BiRh (GGA-PBE)

Data for a relaxed structure of BiRh.

Values from the calculation:
DFT formation energy	0.113	eV/atom

a b c (Å): 7.552 7.471 5.783
angles (deg): 68.10 66.62 45.27
Fractional coordinates of all 8 atoms:
Bi 0.100 0.650 0.100
Bi 0.350 0.900 0.350
Bi 0.650 0.100 0.650
Bi 0.900 0.350 0.900
Rh 0.261 0.261 0.489
Rh 0.489 0.489 0.261
Rh 0.511 0.511 0.739
Rh 0.739 0.739 0.511

(7)
## TeRhNO2 (GGA-PBE)

Data for a relaxed structure of TeRhNO2.

Values from the calculation:
energy relative to the elements, uncorrected	0.362	eV/atom

a b c (Å): 3.986 3.986 3.922
angles (deg): 90.00 90.00 90.00
Fractional coordinates of all 5 atoms:
Te 0.000 0.000 0.000
Rh 0.500 0.500 0.500
N 0.500 0.500 0.000
O 0.000 0.500 0.500
O 0.500 0.000 0.500

(8)
## B2SbW (GGA-PBE)

Data for a relaxed structure of B2SbW.

Values from the calculation:
energy relative to the elements, uncorrected	0.857	eV/atom

a b c (Å): 5.185 5.185 9.918
angles (deg): 90.00 90.00 90.00
Fractional coordinates of all 16 atoms:
B 0.220 0.250 0.125
B 0.250 0.720 0.375
B 0.250 0.780 0.875
B 0.280 0.250 0.625
B 0.720 0.750 0.625
B 0.750 0.220 0.875
B 0.750 0.280 0.375
B 0.780 0.750 0.125
Sb 0.000 0.000 0.500
Sb 0.000 0.500 0.750
Sb 0.500 0.000 0.250
Sb 0.500 0.500 0.000
W 0.000 0.000 0.000
W 0.000 0.500 0.250
W 0.500 0.000 0.750
W 0.500 0.500 0.500

(9)
## Sr2Ac3PmSe6 (GGA-PBE)

Data for a relaxed structure of Sr2Ac3PmSe6.

Values from the calculation:
energy relative to the elements, uncorrected	-1.897	eV/atom

a b c (Å): 7.613 7.613 7.677
angles (deg): 99.52 99.52 120.06
Fractional coordinates of all 12 atoms:
Sr 0.166 0.834 0.000
Sr 0.834 0.166 0.000
Ac 0.000 0.000 0.500
Ac 0.330 0.670 0.500
Ac 0.670 0.330 0.500
Pm 0.500 0.500 0.000
Se 0.094 0.421 0.762
Se 0.254 0.254 0.244
Se 0.421 0.094 0.762
Se 0.579 0.906 0.238
Se 0.746 0.746 0.756
Se 0.906 0.579 0.238

(10)
## TlTe4Au (GGA-PBE)

Data for a relaxed structure of TlTe4Au.

Values from the calculation:
energy relative to the elements, uncorrected	-0.014	eV/atom
E above lowest polymorph	34.0	meV per atom

a b c (Å): 6.322 6.742 9.727
angles (deg): 98.44 97.58 92.42
Fractional coordinates of all 12 atoms:
Tl 0.236 0.210 0.487
Tl 0.764 0.790 0.513
Te 0.127 0.889 0.101
Te 0.238 0.651 0.383
Te 0.305 0.825 0.670
Te 0.442 0.394 0.117
Te 0.558 0.606 0.883
Te 0.695 0.175 0.330
Te 0.762 0.349 0.617
Te 0.873 0.111 0.899
Au 0.000 0.500 0.000
Au 0.500 0.000 0.000

(11)
## BaZnSi2 (GGA-PBE)

Data for a relaxed structure of BaZnSi2.

Values from the calculation:
energy relative to the elements, uncorrected	0.299	eV/atom

a b c (Å): 4.555 4.555 4.590
angles (deg): 90.00 90.00 90.00
Fractional coordinates of all 4 atoms:
Ba 0.000 0.000 0.000
Zn 0.500 0.500 0.000
Si 0.000 0.500 0.500
Si 0.500 0.000 0.500

(12)
## MnSe3 (GGA-PBE)

Data for a relaxed structure of MnSe3.

Values from the calculation:
energy relative to the elements, uncorrected	0.355	eV/atom

a b c (Å): 4.820 4.820 3.398
angles (deg): 90.00 90.00 90.00
Fractional coordinates of all 4 atoms:
Mn 0.000 0.000 0.000
Se 0.000 0.500 0.500
Se 0.500 0.000 0.500
Se 0.500 0.500 0.000